Record 1
The following is a DFT calculation (PBE) of an optimized crystal structure of Ca2NiAg.

The structure in POSCAR format:
```
Ca2NiAg
1.0
4.064 0.000 0.000
0.000 4.405 0.000
-2.018 0.000 5.472
Ca Ni Ag
2 1 1
Cartesian
0.000 0.000 0.000
0.005 2.203 3.113
2.032 2.203 0.801
2.035 0.000 2.281
```

Summary:
theoretical density = 4.2 Mg/m³
E_form = -0.72 eV/f.u.
magnetization = 0.0 μB per formula unit

Record 2
The following is a DFT calculation (PBE) of an optimized crystal structure of Y2AlTl.

The structure in POSCAR format:
```
Y2AlTl
1.0
-2.216 2.216 5.331
2.216 -2.216 5.331
2.216 2.216 -5.331
Y Al Tl
2 1 1
Cartesian
0.000 0.000 0.000
0.000 2.216 2.665
2.216 0.000 2.665
0.000 0.000 5.331
```

Summary:
theoretical density = 6.5 Mg/m³
E_form = -1.06 eV/f.u.
magnetization = 0.0 μB per formula unit